(1)
Tb3DyHo3S8 | GGA-PBE | relaxed

It has space group R-3m (No. 166, hexagonal axes), with a = 7.7906 Å, b = 7.7906 Å, c = 19.1215 Å, α = 90.00°, β = 90.00° and γ = 120.00°. The distinct sites, in fractional coordinates, are Tb at (0.0000, 0.5000, 0.0000), Dy at (0.0000, 0.0000, 0.5000), Ho at (0.0000, 0.5000, 0.5000), S at (0.0000, 0.0000, 0.2487) and S at (0.0028, 0.5014, 0.7506).

The calculation puts the raw formation energy at -2.051 eV/atom. The total magnetization comes out at 0.00 μB/f.u. Its density of states at the Fermi level is 6.21 states/eV/f.u. As for the density: 6.89 g/cm³. Its crystal system is trigonal. Its volume is 22.3 A^3/atom.

=====

(2)
Tb3Dy4HoS8 | GGA-PBE | relaxed

It has space group R-3m (No. 166, hexagonal axes), with a = 7.8225 Å, b = 7.8225 Å, c = 19.1622 Å, α = 90.00°, β = 90.00° and γ = 120.00°. The distinct sites, in fractional coordinates, are Tb at (0.0000, 0.5000, 0.0000), Dy at (0.0000, 0.0000, 0.5000), Dy at (0.0000, 0.5000, 0.5000), Ho at (0.0000, 0.0000, 0.0000), S at (0.0000, 0.0000, 0.2492) and S at (0.0020, 0.5010, 0.7503).

The calculation puts the raw formation energy at -1.993 eV/atom. The total magnetization comes out at 0.00 μB/f.u. Its density of states at the Fermi level is 9.22 states/eV/f.u. As for the density: 7.60 g/cm³. Its crystal system is trigonal. Its volume is 21.2 A^3/atom.

=====

(3)
TbDy3Ho4S8 | GGA-PBE | relaxed

It has space group R-3m (No. 166, hexagonal axes), with a = 7.7937 Å, b = 7.7937 Å, c = 19.1048 Å, α = 90.00°, β = 90.00° and γ = 120.00°. The distinct sites, in fractional coordinates, are Tb at (0.0000, 0.0000, 0.0000), Dy at (0.0000, 0.5000, 0.0000), Ho at (0.0000, 0.0000, 0.5000), Ho at (0.0000, 0.5000, 0.5000), S at (0.0000, 0.0000, 0.2493) and S at (0.0010, 0.5005, 0.2490).

The calculation puts the raw formation energy at -1.981 eV/atom. The total magnetization comes out at 0.00 μB/f.u. Its density of states at the Fermi level is 9.14 states/eV/f.u. As for the density: 7.75 g/cm³. Its crystal system is trigonal. Its volume is 20.9 A^3/atom.

=====

(4)
Dy2HoTe2S2 | GGA-PBE | relaxed

It has space group I4/mmm (No. 139), with a = 5.027 Å, b = 5.027 Å, c = 15.592 Å, α = 90.00°, β = 90.00° and γ = 90.00°. The distinct sites, in fractional coordinates, are Dy at (0.000, 0.000, 0.112), Ho at (0.000, 0.000, 0.500), Te at (0.000, 0.000, 0.310) and S at (0.000, 0.500, 0.000).

The calculation puts the raw formation energy at -1.338 eV/atom. The total magnetization comes out at 0.34 μB/f.u. Its density of states at the Fermi level is 2.18 states/eV/f.u. As for the density: 6.82 g/cm³. Its crystal system is tetragonal. Its volume is 28.1 A^3/atom.

=====

(5)
Dy2HoThS4 | GGA-PBE | relaxed

It has space group P2/m (No. 10), with a = 6.825 Å, b = 3.908 Å, c = 6.852 Å, α = 90.00°, β = 109.15° and γ = 90.00°. The distinct sites, in fractional coordinates, are Dy at (0.000, 0.000, 0.000), Dy at (0.000, 0.500, 0.500), Ho at (0.500, 0.000, 0.500), Th at (0.500, 0.500, 0.000), S at (0.241, 0.000, 0.740) and S at (0.247, 0.500, 0.256).

The calculation puts the raw formation energy at -1.933 eV/atom. The total magnetization comes out at 0.00 μB/f.u. Its density of states at the Fermi level is 3.28 states/eV/f.u. As for the density: 8.18 g/cm³. Its crystal system is monoclinic. Its volume is 21.6 A^3/atom.

=====

(6)
Dy2Ho3ThS6 | GGA-PBE | relaxed

It has space group C2/m (No. 12), with a = 17.088 Å, b = 3.913 Å, c = 7.864 Å, α = 90.00°, β = 103.39° and γ = 90.00°. The distinct sites, in fractional coordinates, are Dy at (0.165, 0.000, 0.330), Ho at (0.000, 0.500, 0.500), Ho at (0.164, 0.000, 0.834), Th at (0.000, 0.500, 0.000), S at (0.000, 0.000, 0.262), S at (0.168, 0.500, 0.584) and S at (0.172, 0.500, 0.085).

The calculation puts the raw formation energy at -1.947 eV/atom. The total magnetization comes out at 0.00 μB/f.u. Its density of states at the Fermi level is 5.89 states/eV/f.u. As for the density: 8.08 g/cm³. Its crystal system is monoclinic. Its volume is 21.3 A^3/atom.

=====

(7)
DyHoTh2S4 | GGA-PBE | relaxed

It has space group P2/m (No. 10), with a = 6.740 Å, b = 3.927 Å, c = 7.061 Å, α = 90.00°, β = 108.83° and γ = 90.00°. The distinct sites, in fractional coordinates, are Dy at (0.000, 0.000, 0.000), Ho at (0.500, 0.500, 0.000), Th at (0.000, 0.500, 0.500), Th at (0.500, 0.000, 0.500), S at (0.246, 0.500, 0.233) and S at (0.256, 0.000, 0.767).

The calculation puts the raw formation energy at -1.902 eV/atom. The total magnetization comes out at 0.00 μB/f.u. Its density of states at the Fermi level is 4.92 states/eV/f.u. As for the density: 8.63 g/cm³. Its crystal system is monoclinic. Its volume is 22.1 A^3/atom.

=====

(8)
Dy3Ho2ThS6 | GGA-PBE | relaxed

It has space group C2/m (No. 12), with a = 17.084 Å, b = 3.918 Å, c = 7.870 Å, α = 90.00°, β = 103.08° and γ = 90.00°. The distinct sites, in fractional coordinates, are Dy at (0.000, 0.000, 0.000), Dy at (0.163, 0.500, 0.334), Ho at (0.165, 0.500, 0.830), Th at (0.000, 0.000, 0.500), S at (0.001, 0.500, 0.762), S at (0.168, 0.000, 0.082) and S at (0.172, 0.000, 0.588).

The calculation puts the raw formation energy at -1.949 eV/atom. The total magnetization comes out at 0.00 μB/f.u. Its density of states at the Fermi level is 5.93 states/eV/f.u. As for the density: 8.04 g/cm³. Its crystal system is monoclinic. Its volume is 21.4 A^3/atom.

=====

(9)
DyHo3Th4S8 | GGA-PBE | relaxed

It has space group R-3m (No. 166, hexagonal axes), with a = 7.7866 Å, b = 7.7866 Å, c = 20.1557 Å, α = 90.00°, β = 90.00° and γ = 120.00°. The distinct sites, in fractional coordinates, are Dy at (0.0000, 0.0000, 0.0000), Ho at (0.0000, 0.5000, 0.0000), Th at (0.0000, 0.0000, 0.5000), Th at (0.0000, 0.5000, 0.5000), S at (0.0000, 0.0000, 0.2561) and S at (0.0009, 0.5004, 0.2559).

The calculation puts the raw formation energy at -1.910 eV/atom. The total magnetization comes out at 0.00 μB/f.u. Its density of states at the Fermi level is 5.10 states/eV/f.u. As for the density: 8.67 g/cm³. Its crystal system is trigonal. Its volume is 22.0 A^3/atom.

=====

(10)
DyHoTlS | GGA-PBE | relaxed

It has space group P1 (No. 1), with a = 3.785 Å, b = 3.788 Å, c = 8.394 Å, α = 90.01°, β = 102.96° and γ = 119.96°. The distinct sites, in fractional coordinates, are Dy at (0.000, 0.000, 0.000), Ho at (0.404, 0.202, 0.605), Tl at (0.869, 0.434, 0.303) and S at (0.203, 0.602, 0.804).

The calculation puts the raw formation energy at -1.139 eV/atom. The total magnetization comes out at 0.00 μB/f.u. Its density of states at the Fermi level is 2.68 states/eV/f.u. As for the density: 9.30 g/cm³. Its crystal system is triclinic. Its volume is 25.2 A^3/atom.

=====

(11)
Dy2HoTl3S6 | GGA-PBE | relaxed

It has space group C2/m (No. 12), with a = 6.971 Å, b = 12.074 Å, c = 7.873 Å, α = 90.00°, β = 107.17° and γ = 90.00°. The distinct sites, in fractional coordinates, are Dy at (0.000, 0.167, 0.000), Ho at (0.000, 0.500, 0.000), Tl at (0.000, 0.000, 0.500), Tl at (0.000, 0.333, 0.500), S at (0.232, 0.334, 0.197) and S at (0.234, 0.000, 0.198).

The calculation puts the raw formation energy at -1.490 eV/atom. The total magnetization comes out at 0.00 μB/f.u. Its density of states at the Fermi level is 0.00 states/eV/f.u. As for the density: 6.80 g/cm³. Its crystal system is monoclinic. Its volume is 26.4 A^3/atom.

=====

(12)
DyHo4TlS8 | GGA-PBE | relaxed

It has space group R3m (No. 160, hexagonal axes), with a = 8.1733 Å, b = 8.1733 Å, c = 20.0982 Å, α = 90.00°, β = 90.00° and γ = 120.00°. The distinct sites, in fractional coordinates, are Dy at (0.0000, 0.0000, 0.0000), Ho at (0.0000, 0.0000, 0.3790), Ho at (0.0109, 0.5054, 0.5056), Tl at (0.0000, 0.0000, 0.6299), S at (0.0000, 0.0000, 0.2468), S at (0.0000, 0.0000, 0.7713), S at (0.0193, 0.5096, 0.7569) and S at (0.1885, 0.3770, 0.5816).

The calculation puts the raw formation energy at -1.816 eV/atom. The total magnetization comes out at 0.00 μB/f.u. As for the density: 5.50 g/cm³. Its crystal system is trigonal. Its volume is 27.7 A^3/atom.

=====

(13)
Dy2Ho3TmS6 | GGA-PBE | relaxed

It has space group C2/m (No. 12), with a = 16.912 Å, b = 3.875 Å, c = 7.796 Å, α = 90.00°, β = 103.49° and γ = 90.00°. The distinct sites, in fractional coordinates, are Dy at (0.167, 0.000, 0.335), Ho at (0.000, 0.500, 0.500), Ho at (0.168, 0.000, 0.833), Tm at (0.000, 0.500, 0.000), S at (0.001, 0.000, 0.753), S at (0.165, 0.500, 0.081) and S at (0.166, 0.500, 0.585).

The calculation puts the raw formation energy at -1.973 eV/atom. The total magnetization comes out at 0.00 μB/f.u. Its density of states at the Fermi level is 5.19 states/eV/f.u. As for the density: 7.90 g/cm³. Its crystal system is monoclinic. Its volume is 20.7 A^3/atom.

=====

(14)
DyHo4TmS8 | GGA-PBE | relaxed

It has space group R3m (No. 160, hexagonal axes), with a = 8.0047 Å, b = 8.0047 Å, c = 19.5737 Å, α = 90.00°, β = 90.00° and γ = 120.00°. The distinct sites, in fractional coordinates, are Dy at (0.0000, 0.0000, 0.0000), Ho at (0.0000, 0.0000, 0.7507), Ho at (0.9997, 0.4999, 0.8753), Tm at (0.0000, 0.0000, 0.3753), S at (0.0000, 0.0000, 0.1330), S at (0.0000, 0.0000, 0.6182), S at (0.0219, 0.5110, 0.1269) and S at (0.1782, 0.3565, 0.9568).

The calculation puts the raw formation energy at -1.927 eV/atom. The total magnetization comes out at 0.00 μB/f.u. Its density of states at the Fermi level is 8.24 states/eV/f.u. As for the density: 5.72 g/cm³. Its crystal system is trigonal. Its volume is 25.9 A^3/atom.

=====

(15)
DyHo2TmS6 | GGA-PBE | relaxed

It has space group R3 (No. 146, hexagonal axes), with a = 6.8657 Å, b = 6.8657 Å, c = 18.4365 Å, α = 90.00°, β = 90.00° and γ = 120.00°. The distinct sites, in fractional coordinates, are Dy at (0.0000, 0.0000, 0.0000), Ho at (0.0000, 0.0000, 0.2986), Ho at (0.0000, 0.0000, 0.7995), Tm at (0.0000, 0.0000, 0.4986), S at (0.0012, 0.7011, 0.3997) and S at (0.0320, 0.3619, 0.5658).

The calculation puts the raw formation energy at -2.062 eV/atom. The total magnetization comes out at 0.00 μB/f.u. Its density of states at the Fermi level is 0.00 states/eV/f.u. As for the density: 5.65 g/cm³. Its crystal system is trigonal. Its volume is 25.1 A^3/atom.

=====

(16)
DyHo3Tm2S6 | GGA-PBE | relaxed

It has space group C2/m (No. 12), with a = 6.689 Å, b = 11.641 Å, c = 6.709 Å, α = 90.00°, β = 109.47° and γ = 90.00°. The distinct sites, in fractional coordinates, are Dy at (0.000, 0.000, 0.000), Ho at (0.000, 0.165, 0.500), Ho at (0.000, 0.500, 0.500), Tm at (0.000, 0.334, 0.000), S at (0.245, 0.500, 0.247) and S at (0.249, 0.331, 0.752).

The calculation puts the raw formation energy at -1.966 eV/atom. The total magnetization comes out at 0.00 μB/f.u. Its density of states at the Fermi level is 4.77 states/eV/f.u. As for the density: 8.01 g/cm³. Its crystal system is monoclinic. Its volume is 20.5 A^3/atom.

=====

(17)
Dy2HoTmS6 | GGA-PBE | relaxed

It has space group R3 (No. 146, hexagonal axes), with a = 6.8754 Å, b = 6.8754 Å, c = 18.4419 Å, α = 90.00°, β = 90.00° and γ = 120.00°. The distinct sites, in fractional coordinates, are Dy at (0.0000, 0.0000, 0.0000), Dy at (0.0000, 0.0000, 0.4994), Ho at (0.0000, 0.0000, 0.2007), Tm at (0.0000, 0.0000, 0.6998), S at (0.0343, 0.3612, 0.7676) and S at (0.0353, 0.6702, 0.2680).

The calculation puts the raw formation energy at -2.062 eV/atom. The total magnetization comes out at 0.00 μB/f.u. Its density of states at the Fermi level is 0.00 states/eV/f.u. As for the density: 5.62 g/cm³. Its crystal system is trigonal. Its volume is 25.2 A^3/atom.

=====

(18)
DyHo4Tm3S8 | GGA-PBE | relaxed

It has space group R-3m (No. 166, hexagonal axes), with a = 7.7391 Å, b = 7.7391 Å, c = 18.9830 Å, α = 90.00°, β = 90.00° and γ = 120.00°. The distinct sites, in fractional coordinates, are Dy at (0.0000, 0.0000, 0.0000), Ho at (0.0000, 0.0000, 0.5000), Ho at (0.0000, 0.5000, 0.5000), Tm at (0.0000, 0.5000, 0.0000), S at (0.0000, 0.0000, 0.2515) and S at (0.0029, 0.5015, 0.2508).

The calculation puts the raw formation energy at -1.955 eV/atom. The total magnetization comes out at 0.00 μB/f.u. Its density of states at the Fermi level is 8.81 states/eV/f.u. As for the density: 8.02 g/cm³. Its crystal system is trigonal. Its volume is 20.5 A^3/atom.

=====

(19)
Dy2HoTmS4 | GGA-PBE | relaxed

It has space group P2/m (No. 10), with a = 6.738 Å, b = 3.849 Å, c = 6.758 Å, α = 90.00°, β = 109.05° and γ = 90.00°. The distinct sites, in fractional coordinates, are Dy at (0.000, 0.000, 0.000), Dy at (0.500, 0.500, 0.000), Ho at (0.000, 0.500, 0.500), Tm at (0.500, 0.000, 0.500), S at (0.251, 0.000, 0.746) and S at (0.254, 0.500, 0.255).

The calculation puts the raw formation energy at -1.971 eV/atom. The total magnetization comes out at 0.00 μB/f.u. Its density of states at the Fermi level is 4.72 states/eV/f.u. As for the density: 7.89 g/cm³. Its crystal system is monoclinic. Its volume is 20.7 A^3/atom.

=====

(20)
DyHoTm4S8 | GGA-PBE | relaxed

It has space group R3m (No. 160, hexagonal axes), with a = 7.9566 Å, b = 7.9566 Å, c = 19.5297 Å, α = 90.00°, β = 90.00° and γ = 120.00°. The distinct sites, in fractional coordinates, are Dy at (0.0000, 0.0000, 0.0000), Ho at (0.0000, 0.0000, 0.3747), Tm at (0.0000, 0.0000, 0.7493), Tm at (0.1670, 0.3340, 0.2078), S at (0.0000, 0.0000, 0.1338), S at (0.0000, 0.0000, 0.6169), S at (0.0178, 0.5089, 0.1278) and S at (0.1774, 0.3547, 0.9540).

The calculation puts the raw formation energy at -1.921 eV/atom. The total magnetization comes out at 0.00 μB/f.u. Its density of states at the Fermi level is 8.40 states/eV/f.u. As for the density: 5.86 g/cm³. Its crystal system is trigonal. Its volume is 25.5 A^3/atom.